A geometry-optimized LaTlSn2 structure. Source: Alexandria via LeMat-Bulk, functional GGA-PBE.

Values from the calculation:
ΔE_f = -520 meV/atom
density of states at the Fermi level = 1.71 states/eV/f.u.

Cell: 4.795 4.795 4.914 Å, 90.00 90.00 90.00°
Fractional coordinates of all 4 atoms:
La: 0.000 0.000 0.000
Tl: 0.500 0.500 0.000
Sn: 0.000 0.500 0.500
Sn: 0.500 0.000 0.500

***

A geometry-optimized HfU2Te6 structure. Source: Alexandria via LeMat-Bulk, functional GGA-PBE.

Values from the calculation:
raw formation energy = -644 meV per atom
density of states at the Fermi level = 16.69 states/eV/f.u.
distance to the lowest polymorph of the same formula = 8.1 meV per atom

Cell: 6.949 7.955 12.054 Å, 90.00 124.81 90.00°
Fractional coordinates of all 18 atoms:
Hf: 0.000 0.000 0.000
Hf: 0.000 0.500 0.500
U: 0.306 0.133 0.756
U: 0.306 0.367 0.256
U: 0.694 0.633 0.744
U: 0.694 0.867 0.244
Te: 0.112 0.034 0.267
Te: 0.112 0.466 0.767
Te: 0.213 0.673 0.063
Te: 0.213 0.827 0.563
Te: 0.415 0.179 0.065
Te: 0.415 0.321 0.565
Te: 0.585 0.679 0.435
Te: 0.585 0.821 0.935
Te: 0.787 0.173 0.437
Te: 0.787 0.327 0.937
Te: 0.888 0.534 0.233
Te: 0.888 0.966 0.733

***

A geometry-optimized BHF3 structure. Source: Alexandria via LeMat-Bulk, functional GGA-PBE.

Values from the calculation:
density of states at the Fermi level = 0.00 states/eV/f.u.
distance to the lowest polymorph of the same formula = 850.0 meV per atom

Cell: 3.296 3.296 3.296 Å, 90.00 90.00 90.00°
Fractional coordinates of all 5 atoms:
B: 0.000 0.000 0.000
H: 0.500 0.500 0.500
F: 0.000 0.000 0.500
F: 0.000 0.500 0.000
F: 0.500 0.000 0.000

***

A geometry-optimized RbGa3Pb structure. Source: Alexandria via LeMat-Bulk, functional GGA-PBE.

Values from the calculation:
ΔE_f = 1042 meV/atom
density of states at the Fermi level = 4.19 states/eV/f.u.
distance to the lowest polymorph of the same formula = 700.6 meV per atom

Cell: 5.789 5.789 5.789 Å, 90.00 90.00 90.00°
Fractional coordinates of all 5 atoms:
Rb: 0.000 0.000 0.000
Ga: 0.000 0.000 0.500
Ga: 0.000 0.500 0.000
Ga: 0.500 0.000 0.000
Pb: 0.500 0.500 0.500